Record 1
Entry from the Alexandria database: a relaxed structure of La6Ru2AuBr3 (PBE-GGA).

Cell lengths 7.327, 7.327, 8.308 Å; angles 98.43, 98.43, 120.00 degrees
Atoms (fractional coordinates):
La 0.934 0.578 0.802
La 0.710 0.710 0.198
La 0.066 0.422 0.198
La 0.578 0.934 0.802
La 0.290 0.290 0.802
La 0.422 0.066 0.198
Ru 0.333 0.667 0.000
Ru 0.667 0.333 0.000
Au 0.000 0.000 0.000
Br 0.167 0.833 0.500
Br 0.833 0.167 0.500
Br 0.500 0.500 0.500

## Properties
- crystal system = monoclinic
- total DFT energy (no corrections) (eV/atom) = -5.7255
- energy relative to the elements, uncorrected (eV per atom) = -1.024
- space group = C2/m (12)

=====

Record 2
Entry from the Alexandria database: a relaxed structure of LaPm2Y7 (PBE-GGA).

Cell lengths 6.246, 9.541, 6.235 Å; angles 108.95, 80.42, 77.43 degrees
Atoms (fractional coordinates):
La 0.000 0.000 0.000
Pm 0.500 0.698 0.599
Pm 0.500 0.302 0.401
Y 0.001 0.798 0.398
Y 0.999 0.202 0.602
Y 0.000 0.599 0.800
Y 0.000 0.401 0.200
Y 0.500 0.899 0.202
Y 0.500 0.101 0.798
Y 0.500 0.500 0.000

## Properties
- crystal system = triclinic
- total DFT energy (no corrections) (eV/atom) = -5.9458
- energy above the lowest structure with this stoichiometry (meV/atom) = 0
- space group = P-1 (2)

=====

Record 3
Entry from the Alexandria database: a relaxed structure of Y3SiBr3 (PBE-GGA).

Cell lengths 10.069, 10.069, 10.069 Å; angles 109.47, 109.47, 109.47 degrees
Atoms (fractional coordinates):
Y 0.975 0.487 0.237
Y 0.513 0.025 0.263
Y 0.250 0.013 0.487
Y 0.987 0.750 0.013
Y 0.987 0.237 0.475
Y 0.763 0.013 0.025
Y 0.737 0.475 0.487
Y 0.763 0.750 0.237
Y 0.525 0.263 0.013
Y 0.250 0.237 0.263
Y 0.737 0.263 0.750
Y 0.513 0.487 0.750
Si 0.750 0.500 0.000
Si 0.500 0.250 0.500
Si 0.750 0.250 0.250
Si 0.000 0.000 0.250
Br 0.245 0.995 0.989
Br 0.750 0.755 0.745
Br 0.489 0.745 0.995
Br 0.005 0.250 0.995
Br 0.255 0.745 0.250
Br 0.495 0.505 0.250
Br 0.245 0.250 0.755
Br 0.255 0.511 0.505
Br 0.750 0.995 0.505
Br 0.011 0.505 0.755
Br 0.005 0.755 0.511
Br 0.495 0.989 0.745

## Properties
- crystal system = cubic
- total DFT energy (no corrections) (eV/atom) = -5.6523
- energy relative to the elements, uncorrected (eV per atom) = -1.390
- space group = I4_132 (214)

=====

Record 4
Entry from the Alexandria database: a relaxed structure of HgBi3N (PBE-GGA).

Cell lengths 5.667, 5.667, 5.667 Å; angles 90.00, 90.00, 90.00 degrees
Atoms (fractional coordinates):
N 0.500 0.500 0.500
Bi 0.000 0.500 0.000
Bi 0.000 0.000 0.500
Bi 0.500 0.000 0.000
Hg 0.000 0.000 0.000

## Properties
- crystal system = cubic
- total DFT energy (no corrections) (eV/atom) = -2.1717
- energy above the lowest structure with this stoichiometry (meV/atom) = 1493
- energy relative to the elements, uncorrected (eV per atom) = 1.882
- space group = Pm-3m (221)

=====

Record 5
Entry from the Alexandria database: a relaxed structure of Y2ErTm4Sc (PBE-GGA).

Cell lengths 4.924, 4.928, 11.022 Å; angles 63.46, 90.00, 90.00 degrees
Atoms (fractional coordinates):
Y 0.000 0.000 0.000
Y 0.500 0.000 0.500
Er 0.500 0.500 0.000
Tm 0.000 0.754 0.746
Tm 0.000 0.246 0.254
Tm 0.500 0.746 0.254
Tm 0.500 0.254 0.746
Sc 0.000 0.500 0.500

## Properties
- crystal system = tetragonal
- total DFT energy (no corrections) (eV/atom) = -5.1732
- space group = P4/mmm (123)

=====

Record 6
Entry from the Alexandria database: a relaxed structure of PmHfCoCu (PBE-GGA).

Cell lengths 4.725, 4.725, 4.725 Å; angles 60.00, 60.00, 60.00 degrees
Atoms (fractional coordinates):
Co 0.750 0.750 0.750
Hf 0.000 0.000 0.000
Cu 0.250 0.250 0.250
Pm 0.500 0.500 0.500

## Properties
- crystal system = cubic
- total DFT energy (no corrections) (eV/atom) = -6.5216
- space group = F-43m (216)

=====

no.,N(E_F) (states/eV/f.u.),mass density (kg/m³)
1,3.7,6619
2,15.1,5266
3,2.4,4518
4,9.5,7680
5,12.3,7396
6,2.7,9930